Entry from the Alexandria database: a geometry-optimized ScSi structure (GGA-PBE).

Summary:
The theoretical density is 2060 kg/m³. The value obtained for the total energy is -5.385 eV/atom.

Cell: 4.3664 4.3664 4.3664 Å, 60.00 60.00 60.00°
Atoms (fractional coordinates):
Sc (0.0000, 0.0000, 0.0000)
Si (0.7500, 0.7500, 0.7500)